1.
Ta3C2 after structural relaxation. Source: the Alexandria database, functional PBEsol.

Cell lengths 3.1219, 3.1219, 7.6509 Å; angles 78.23, 78.23, 60.00 degrees
Positions (direct):
1 C 0.6080 0.6080 0.1761
2 C 0.3920 0.3920 0.8239
3 Ta 0.0000 0.0000 0.0000
4 Ta 0.2208 0.2208 0.3377
5 Ta 0.7792 0.7792 0.6623

Calculated values
- formation energy (eV per atom) = -0.67
- total DFT energy (no corrections) (eV for the cell shown) = -60.3
- offset from the most stable computed form (meV/atom) = 0
- DOS at the Fermi energy (states/eV/f.u.) = 1.37
- spin magnetization (μB per cell) = 0.0

2.
MnZn4Se5 after structural relaxation. Source: the Alexandria database, functional PBEsol.

Cell lengths 4.0061, 4.0061, 16.5596 Å; angles 83.05, 83.05, 60.00 degrees
Positions (direct):
1 Mn 0.6494 0.6494 0.0517
2 Zn 0.0512 0.0512 0.8464
3 Zn 0.4504 0.4504 0.6489
4 Zn 0.8497 0.8497 0.4510
5 Zn 0.2489 0.2489 0.2534
6 Se 0.0016 0.0016 0.9953
7 Se 0.4008 0.4008 0.7977
8 Se 0.8000 0.8000 0.5999
9 Se 0.1993 0.1993 0.4021
10 Se 0.5988 0.5988 0.2035

Calculated values
- total DFT energy (no corrections) (eV for the cell shown) = -41.0
- offset from the most stable computed form (meV/atom) = 7
- DOS at the Fermi energy (states/eV/f.u.) = 0.07
- spin magnetization (μB per cell) = 5.0

3.
ZrInAs4 after structural relaxation. Source: the Alexandria database, functional PBEsol.

Cell lengths 5.5176, 5.5176, 5.5176 Å; angles 60.00, 60.00, 60.00 degrees
Positions (direct):
1 As 0.3740 0.3740 0.3740
2 As 0.3740 0.3740 0.8779
3 As 0.8779 0.3740 0.3740
4 As 0.3740 0.8779 0.3740
5 Zr 0.0000 0.0000 0.0000
6 In 0.7500 0.7500 0.7500

Calculated values
- formation energy (eV per atom) = 0.08
- total DFT energy (no corrections) (eV for the cell shown) = -32.0
- DOS at the Fermi energy (states/eV/f.u.) = 3.46
- spin magnetization (μB per cell) = 0.0

4.
CuHgBi2Ir after structural relaxation. Source: the Alexandria database, functional PBEsol.

Cell lengths 4.5915, 5.4184, 5.4184 Å; angles 90.00, 90.00, 90.00 degrees
Positions (direct):
1 Ir 0.5000 0.5000 0.5000
2 Bi 0.0000 0.0000 0.5000
3 Bi 0.0000 0.5000 0.0000
4 Cu 0.5000 0.0000 0.0000
5 Hg 0.0000 0.0000 0.0000

Calculated values
- formation energy (eV per atom) = 1.49
- total DFT energy (no corrections) (eV for the cell shown) = -15.8
- DOS at the Fermi energy (states/eV/f.u.) = 3.97
- spin magnetization (μB per cell) = 0.0

5.
LiAlNi after structural relaxation. Source: the Alexandria database, functional PBEsol.

Cell lengths 3.9832, 3.9832, 3.9832 Å; angles 60.00, 60.00, 60.00 degrees
Positions (direct):
1 Ni 0.5000 0.5000 0.5000
2 Al 0.2500 0.2500 0.2500
3 Li 0.0000 0.0000 0.0000

Calculated values
- formation energy (eV per atom) = 0.16
- total DFT energy (no corrections) (eV for the cell shown) = -11.7
- DOS at the Fermi energy (states/eV/f.u.) = 1.26
- spin magnetization (μB per cell) = 0.0

6.
YW3I after structural relaxation. Source: the Alexandria database, functional PBEsol.

Cell lengths 4.8587, 4.8587, 4.8587 Å; angles 90.00, 90.00, 90.00 degrees
Positions (direct):
1 I 0.5000 0.5000 0.5000
2 Y 0.0000 0.0000 0.0000
3 W 0.0000 0.5000 0.0000
4 W 0.0000 0.0000 0.5000
5 W 0.5000 0.0000 0.0000

Calculated values
- total DFT energy (no corrections) (eV for the cell shown) = -33.8
- DOS at the Fermi energy (states/eV/f.u.) = 6.68
- spin magnetization (μB per cell) = 0.0